# PBE-GGA SiAs2Os, relaxed
data_SiAs2Os
_space_group_name_H-M_alt 'P 4/m m m'
_space_group_IT_number 123
_space_group_name_Hall '-P 4 2'
_cell_length_a 4.610
_cell_length_b 4.610
_cell_length_c 2.966
_cell_angle_alpha 90.00
_cell_angle_beta 90.00
_cell_angle_gamma 90.00
loop_
_atom_site_label
_atom_site_type_symbol
_atom_site_fract_x
_atom_site_fract_y
_atom_site_fract_z
Si1 Si 0.000 0.000 0.000
As1 As 0.000 0.500 0.500
Os1 Os 0.500 0.500 0.000
# formation energy from raw total energies: 0.66 eV/atom
# M_tot: 0.0 μB per formula unit
# calculated volume: 63.02 Å³/f.u.

# PBE-GGA CrW, relaxed
data_CrW
_space_group_name_H-M_alt 'P -6 m 2'
_space_group_IT_number 187
_space_group_name_Hall 'P -6 2'
_cell_length_a 2.7748
_cell_length_b 2.7748
_cell_length_c 4.4510
_cell_angle_alpha 90.00
_cell_angle_beta 90.00
_cell_angle_gamma 120.00
loop_
_atom_site_label
_atom_site_type_symbol
_atom_site_fract_x
_atom_site_fract_y
_atom_site_fract_z
Cr1 Cr 0.0000 0.0000 0.0000
W1 W 0.3333 0.6667 0.5000
# energy relative to the elements: 1.1 eV/f.u.
# M_tot: 2.1 μB per formula unit
# calculated volume: 29.68 Å³/f.u.

# PBE-GGA TbEu2Tl, relaxed
data_TbEu2Tl
_space_group_name_H-M_alt 'F m -3 m'
_space_group_IT_number 225
_space_group_name_Hall '-F 4 2 3'
_cell_length_a 8.058
_cell_length_b 8.058
_cell_length_c 8.058
_cell_angle_alpha 90.00
_cell_angle_beta 90.00
_cell_angle_gamma 90.00
loop_
_atom_site_label
_atom_site_type_symbol
_atom_site_fract_x
_atom_site_fract_y
_atom_site_fract_z
Tb1 Tb 0.000 0.000 0.000
Eu1 Eu 0.250 0.250 0.250
Tl1 Tl 0.000 0.000 0.500
# energy relative to the elements: -0.1 eV/f.u.
# polymorph energy (0 for the lowest one): 0.1143 eV/atom
# M_tot: 14.4 μB per formula unit
# calculated volume: 130.79 Å³/f.u.

# PBE-GGA LiScOs2, relaxed
data_LiScOs2
_space_group_name_H-M_alt 'P 4/m m m'
_space_group_IT_number 123
_space_group_name_Hall '-P 4 2'
_cell_length_a 3.219
_cell_length_b 3.219
_cell_length_c 5.764
_cell_angle_alpha 90.00
_cell_angle_beta 90.00
_cell_angle_gamma 90.00
loop_
_atom_site_label
_atom_site_type_symbol
_atom_site_fract_x
_atom_site_fract_y
_atom_site_fract_z
Li1 Li 0.000 0.000 0.000
Sc1 Sc 0.000 0.000 0.500
Os1 Os 0.500 0.500 0.213
# energy relative to the elements: 0.8 eV/f.u.
# polymorph energy (0 for the lowest one): 0.2445 eV/atom
# M_tot: 0.0 μB per formula unit
# calculated volume: 59.72 Å³/f.u.

# PBE-GGA LiCoMo, relaxed
data_LiCoMo
_space_group_name_H-M_alt 'F m m 2'
_space_group_IT_number 42
_space_group_name_Hall 'F 2 -2'
_cell_length_a 3.001
_cell_length_b 4.189
_cell_length_c 13.343
_cell_angle_alpha 90.00
_cell_angle_beta 90.00
_cell_angle_gamma 90.00
loop_
_atom_site_label
_atom_site_type_symbol
_atom_site_fract_x
_atom_site_fract_y
_atom_site_fract_z
Li1 Li 0.000 0.000 0.000
Co1 Co 0.000 0.000 0.660
Mo1 Mo 0.000 0.000 0.315
# energy relative to the elements: 0.9 eV/f.u.
# polymorph energy (0 for the lowest one): 0.0290 eV/atom
# M_tot: 1.4 μB per formula unit
# calculated volume: 41.93 Å³/f.u.

# PBE-GGA ScTlRu2, relaxed
data_ScTlRu2
_space_group_name_H-M_alt 'P 4/m m m'
_space_group_IT_number 123
_space_group_name_Hall '-P 4 2'
_cell_length_a 3.290
_cell_length_b 3.290
_cell_length_c 6.380
_cell_angle_alpha 90.00
_cell_angle_beta 90.00
_cell_angle_gamma 90.00
loop_
_atom_site_label
_atom_site_type_symbol
_atom_site_fract_x
_atom_site_fract_y
_atom_site_fract_z
Sc1 Sc 0.000 0.000 0.000
Tl1 Tl 0.000 0.000 0.500
Ru1 Ru 0.500 0.500 0.243
# energy relative to the elements: 0.1 eV/f.u.
# M_tot: 0.0 μB per formula unit
# calculated volume: 69.07 Å³/f.u.